(1)
# NdCd4In (PBE, optimized geometry)
data_NdCd4In
_cell_length_a 4.665
_cell_length_b 13.357
_cell_length_c 4.727
_cell_angle_alpha 90.00
_cell_angle_beta 90.00
_cell_angle_gamma 90.00
_symmetry_space_group_name_H-M 'C m m m'
_symmetry_Int_Tables_number 65
_symmetry_space_group_name_Hall '-C 2 2'
loop_
_atom_site_label
_atom_site_type_symbol
_atom_site_fract_x
_atom_site_fract_y
_atom_site_fract_z
Nd1 Nd 0.000 0.000 0.000
Cd1 Cd 0.000 0.169 0.500
Cd2 Cd 0.000 0.322 0.000
In1 In 0.000 0.500 0.500
# - Energy relative to the elements: -23 kJ per mole of atoms
# - VASP energy: -0.155 Ry per atom
# - Excess energy over the best structure of this formula in the dataset: 0.000 eV per atom

---

(2)
# TmBeAu3 (PBE, optimized geometry)
data_TmBeAu3
_cell_length_a 6.6287
_cell_length_b 6.6287
_cell_length_c 7.3250
_cell_angle_alpha 90.00
_cell_angle_beta 90.00
_cell_angle_gamma 120.00
_symmetry_space_group_name_H-M 'R 3 m'
_symmetry_Int_Tables_number 160
_symmetry_space_group_name_Hall 'R 3 -2"'
loop_
_atom_site_label
_atom_site_type_symbol
_atom_site_fract_x
_atom_site_fract_y
_atom_site_fract_z
Tm1 Tm 0.0000 0.0000 0.0000
Be1 Be 0.0000 0.0000 0.5927
Au1 Au 0.0426 0.5213 0.0259
# - Energy relative to the elements: -45 kJ per mole of atoms
# - VASP energy: -0.299 Ry per atom

---

(3)
# K2MnBe (PBE, optimized geometry)
data_K2MnBe
_cell_length_a 7.578
_cell_length_b 7.624
_cell_length_c 7.652
_cell_angle_alpha 90.00
_cell_angle_beta 90.00
_cell_angle_gamma 90.00
_symmetry_space_group_name_H-M 'F 2 2 2'
_symmetry_Int_Tables_number 22
_symmetry_space_group_name_Hall 'F 2 2'
loop_
_atom_site_label
_atom_site_type_symbol
_atom_site_fract_x
_atom_site_fract_y
_atom_site_fract_z
K1 K 0.000 0.000 0.000
K2 K 0.250 0.250 0.250
Mn1 Mn 0.000 0.000 0.500
Be1 Be 0.250 0.250 0.750
# - Energy relative to the elements: 104 kJ per mole of atoms
# - VASP energy: -0.198 Ry per atom

---

(4)
# LaY2Tl2 (PBE, optimized geometry)
data_LaY2Tl2
_cell_length_a 4.794
_cell_length_b 4.794
_cell_length_c 13.870
_cell_angle_alpha 90.00
_cell_angle_beta 90.00
_cell_angle_gamma 90.00
_symmetry_space_group_name_H-M 'I 4/m m m'
_symmetry_Int_Tables_number 139
_symmetry_space_group_name_Hall '-I 4 2'
loop_
_atom_site_label
_atom_site_type_symbol
_atom_site_fract_x
_atom_site_fract_y
_atom_site_fract_z
La1 La 0.000 0.000 0.000
Y1 Y 0.000 0.500 0.250
Tl1 Tl 0.000 0.000 0.397
# - Energy relative to the elements: -22 kJ per mole of atoms
# - VASP energy: -0.349 Ry per atom
# - Excess energy over the best structure of this formula in the dataset: 0.101 eV per atom